1.
# PrEr3Tm6Sc2 GGA-PBE optimized geometry
data_PrEr3Tm6Sc2
_chemical_formula_sum 'Pr2 Er6 Tm12 Sc4'
_space_group_name_H-M_alt 'C 1 2/m 1'
_space_group_IT_number 12
_cell_length_a 6.012
_cell_length_b 10.405
_cell_length_c 11.538
_cell_angle_alpha 90.00
_cell_angle_beta 99.96
_cell_angle_gamma 90.00
loop_
_space_group_symop_operation_xyz
'x,y,z'
'-x,-y,-z'
'-x,y,-z'
'x,-y,z'
'x+1/2,y+1/2,z'
'-x+1/2,-y+1/2,-z'
'-x+1/2,y+1/2,-z'
'x+1/2,-y+1/2,z'
loop_
_atom_site_label
_atom_site_fract_x
_atom_site_fract_y
_atom_site_fract_z
_atom_site_occupancy
Pr1 0.000 0.000 0.000 1
Er1 0.000 0.167 0.500 1
Er2 0.000 0.500 0.500 1
Tm1 0.247 0.500 0.248 1
Tm2 0.249 0.332 0.752 1
Sc1 0.000 0.333 0.000 1
# * ΔH_f (0 K): 0.04 eV per atom
# * E: -4.790 eV/atom

=====

2.
# TmMg2Tl4 GGA-PBE optimized geometry
data_TmMg2Tl4
_chemical_formula_sum 'Tm2 Mg4 Tl8'
_space_group_name_H-M_alt 'I 4/m m m'
_space_group_IT_number 139
_space_group_name_Hall '-I 4 2'
_cell_length_a 7.001
_cell_length_b 7.001
_cell_length_c 7.847
_cell_angle_alpha 90.00
_cell_angle_beta 90.00
_cell_angle_gamma 90.00
loop_
_atom_site_label
_atom_site_fract_x
_atom_site_fract_y
_atom_site_fract_z
_atom_site_occupancy
Tm1 0.000 0.000 0.000 1
Mg1 0.000 0.500 0.000 1
Tl1 0.250 0.250 0.250 1
# * ΔH_f (0 K): -0.09 eV per atom
# * E: -2.539 eV/atom